1.
# ZnSiPbO4 | OQMD | PBE | optimized geometry
# VASP energy	-44.0	eV/f.u.
data_ZnSiPbO4
_cell_length_a 8.1538
_cell_length_b 18.9141
_cell_length_c 5.0469
_cell_angle_alpha 90.00
_cell_angle_beta 90.00
_cell_angle_gamma 90.00
_symmetry_space_group_name_H-M 'P n a 21'
_symmetry_Int_Tables_number 33
loop_
_symmetry_equiv_pos_as_xyz
'x,y,z'
'-x,-y,z+1/2'
'-x+1/2,y+1/2,z+1/2'
'x+1/2,-y+1/2,z'
loop_
_atom_site_label
_atom_site_fract_x
_atom_site_fract_y
_atom_site_fract_z
_atom_site_occupancy
Zn1 0.0006 0.0580 0.0000 1
Zn2 0.1770 0.3453 0.0029 1
Si1 0.2034 0.6788 0.4922 1
Si2 0.2329 0.9273 0.9922 1
Pb1 0.0226 0.7671 0.0240 1
Pb2 0.1558 0.5576 0.0366 1
O1 0.0388 0.6457 0.3408 1
O2 0.0632 0.9626 0.8692 1
O3 0.1099 0.4762 0.4129 1
O4 0.1381 0.1336 0.8928 1
O5 0.1787 0.6795 0.8119 1
O6 0.2115 0.9250 0.3169 1
O7 0.2172 0.7594 0.3692 1
O8 0.2487 0.3467 0.3729 1



2.
# SmPbO3 | OQMD | PBE | optimized geometry
# spin magnetization	0.0	μB/f.u.
# VASP energy	-31.9	eV/f.u.
data_SmPbO3
_cell_length_a 6.0417
_cell_length_b 6.0417
_cell_length_c 4.2496
_cell_angle_alpha 90.00
_cell_angle_beta 90.00
_cell_angle_gamma 90.00
_symmetry_space_group_name_H-M 'P 4/m b m'
_symmetry_Int_Tables_number 127
_symmetry_space_group_name_Hall '-P 4 2ab'
loop_
_atom_site_label
_atom_site_fract_x
_atom_site_fract_y
_atom_site_fract_z
_atom_site_occupancy
Sm1 0.0000 0.5000 0.0000 1
Pb1 0.0000 0.0000 0.5000 1
O1 0.0000 0.0000 0.0000 1
O2 0.1497 0.3503 0.5000 1



3.
# SmPbO3 | OQMD | PBE | optimized geometry
# spin magnetization	0.0	μB/f.u.
# VASP energy	-32.1	eV/f.u.
data_SmPbO3
_cell_length_a 6.0848
_cell_length_b 6.0848
_cell_length_c 8.4181
_cell_angle_alpha 90.00
_cell_angle_beta 90.00
_cell_angle_gamma 90.00
_symmetry_space_group_name_H-M 'I 4/m c m'
_symmetry_Int_Tables_number 140
_symmetry_space_group_name_Hall '-I 4 2c'
loop_
_atom_site_label
_atom_site_fract_x
_atom_site_fract_y
_atom_site_fract_z
_atom_site_occupancy
Sm1 0.0000 0.5000 0.2500 1
Pb1 0.0000 0.0000 0.0000 1
O1 0.0000 0.0000 0.2500 1
O2 0.1488 0.3512 0.0000 1



4.
# SmPbO3 | OQMD | PBE | optimized geometry
# spin magnetization	0.0	μB/f.u.
# VASP energy	-32.1	eV/f.u.
data_SmPbO3
_cell_length_a 8.4617
_cell_length_b 8.6096
_cell_length_c 6.0347
_cell_angle_alpha 90.00
_cell_angle_beta 134.48
_cell_angle_gamma 90.00
_symmetry_space_group_name_H-M 'C 1 2/m 1'
_symmetry_Int_Tables_number 12
loop_
_symmetry_equiv_pos_as_xyz
'x,y,z'
'-x,-y,-z'
'-x,y,-z'
'x,-y,z'
'x+1/2,y+1/2,z'
'-x+1/2,-y+1/2,-z'
'-x+1/2,y+1/2,-z'
'x+1/2,-y+1/2,z'
loop_
_atom_site_label
_atom_site_fract_x
_atom_site_fract_y
_atom_site_fract_z
_atom_site_occupancy
Sm1 0.2484 0.0000 0.4971 1
Pb1 0.2500 0.2500 0.0000 1
O1 0.0000 0.2485 0.0000 1
O2 0.0000 0.3510 0.5000 1
O3 0.1481 0.0000 0.7976 1



- What is the formula in the first record?
  ZnSiPbO4



What did the fourth record say?
# SmPbO3 | OQMD | PBE | optimized geometry
# spin magnetization	0.0	μB/f.u.
# VASP energy	-32.1	eV/f.u.
data_SmPbO3
_cell_length_a 8.4617
_cell_length_b 8.6096
_cell_length_c 6.0347
_cell_angle_alpha 90.00
_cell_angle_beta 134.48
_cell_angle_gamma 90.00
_symmetry_space_group_name_H-M 'C 1 2/m 1'
_symmetry_Int_Tables_number 12
loop_
_symmetry_equiv_pos_as_xyz
'x,y,z'
'-x,-y,-z'
'-x,y,-z'
'x,-y,z'
'x+1/2,y+1/2,z'
'-x+1/2,-y+1/2,-z'
'-x+1/2,y+1/2,-z'
'x+1/2,-y+1/2,z'
loop_
_atom_site_label
_atom_site_fract_x
_atom_site_fract_y
_atom_site_fract_z
_atom_site_occupancy
Sm1 0.2484 0.0000 0.4971 1
Pb1 0.2500 0.2500 0.0000 1
O1 0.0000 0.2485 0.0000 1
O2 0.0000 0.3510 0.5000 1
O3 0.1481 0.0000 0.7976 1



- Which of these has the lowest VASP energy?
  ZnSiPbO4



What did the first record say?
# ZnSiPbO4 | OQMD | PBE | optimized geometry
# VASP energy	-44.0	eV/f.u.
data_ZnSiPbO4
_cell_length_a 8.1538
_cell_length_b 18.9141
_cell_length_c 5.0469
_cell_angle_alpha 90.00
_cell_angle_beta 90.00
_cell_angle_gamma 90.00
_symmetry_space_group_name_H-M 'P n a 21'
_symmetry_Int_Tables_number 33
loop_
_symmetry_equiv_pos_as_xyz
'x,y,z'
'-x,-y,z+1/2'
'-x+1/2,y+1/2,z+1/2'
'x+1/2,-y+1/2,z'
loop_
_atom_site_label
_atom_site_fract_x
_atom_site_fract_y
_atom_site_fract_z
_atom_site_occupancy
Zn1 0.0006 0.0580 0.0000 1
Zn2 0.1770 0.3453 0.0029 1
Si1 0.2034 0.6788 0.4922 1
Si2 0.2329 0.9273 0.9922 1
Pb1 0.0226 0.7671 0.0240 1
Pb2 0.1558 0.5576 0.0366 1
O1 0.0388 0.6457 0.3408 1
O2 0.0632 0.9626 0.8692 1
O3 0.1099 0.4762 0.4129 1
O4 0.1381 0.1336 0.8928 1
O5 0.1787 0.6795 0.8119 1
O6 0.2115 0.9250 0.3169 1
O7 0.2172 0.7594 0.3692 1
O8 0.2487 0.3467 0.3729 1